{"formula": "NdNpRh2", "functional": "PBE", "state": "optimized geometry", "n_ef_per_ev_fu": 7.20, "formation_energy_mev_per_atom": -368, "final_energy_ev_per_atom": -8.47, "crystal_system": "cubic", "lattice": [[6.945, 0.000, 0.000], [0.000, 6.945, 0.000], [0.000, 0.000, 6.945]], "species": ["Nd", "Nd", "Nd", "Nd", "Np", "Np", "Np", "Np", "Rh", "Rh", "Rh", "Rh", "Rh", "Rh", "Rh", "Rh"], "fractional_positions": [[0.000, 0.000, 0.000], [0.000, 0.500, 0.500], [0.500, 0.000, 0.500], [0.500, 0.500, 0.000], [0.000, 0.000, 0.500], [0.000, 0.500, 0.000], [0.500, 0.000, 0.000], [0.500, 0.500, 0.500], [0.250, 0.250, 0.250], [0.250, 0.250, 0.750], [0.250, 0.750, 0.250], [0.250, 0.750, 0.750], [0.750, 0.250, 0.250], [0.750, 0.250, 0.750], [0.750, 0.750, 0.250], [0.750, 0.750, 0.750]]}



{"formula": "NdNpRh4", "functional": "PBE", "state": "optimized geometry", "n_ef_per_ev_fu": 7.50, "formation_energy_mev_per_atom": -338, "relative_energy_ev_per_atom": 0.123, "final_energy_ev_per_atom": -8.19, "crystal_system": "monoclinic", "lattice": [[7.286, -2.947, 0.000], [7.286, 2.947, 0.000], [-1.487, 0.000, 5.374]], "species": ["Nd", "Nd", "Np", "Np", "Rh", "Rh", "Rh", "Rh", "Rh", "Rh", "Rh", "Rh"], "fractional_positions": [[0.190, 0.190, 0.270], [0.810, 0.810, 0.730], [0.425, 0.425, 0.624], [0.575, 0.575, 0.376], [0.104, 0.646, 0.281], [0.236, 0.764, 0.000], [0.300, 0.300, 0.867], [0.354, 0.896, 0.719], [0.646, 0.104, 0.281], [0.700, 0.700, 0.133], [0.764, 0.236, 0.000], [0.896, 0.354, 0.719]]}



{"formula": "NdNpRuRh", "functional": "PBE", "state": "optimized geometry", "n_ef_per_ev_fu": 6.64, "formation_energy_mev_per_atom": -171, "final_energy_ev_per_atom": -8.75, "crystal_system": "cubic", "lattice": [[6.910, 0.000, 0.000], [0.000, 6.910, 0.000], [0.000, 0.000, 6.910]], "species": ["Nd", "Nd", "Nd", "Nd", "Np", "Np", "Np", "Np", "Ru", "Ru", "Ru", "Ru", "Rh", "Rh", "Rh", "Rh"], "fractional_positions": [[0.000, 0.000, 0.000], [0.000, 0.500, 0.500], [0.500, 0.000, 0.500], [0.500, 0.500, 0.000], [0.000, 0.000, 0.500], [0.000, 0.500, 0.000], [0.500, 0.000, 0.000], [0.500, 0.500, 0.500], [0.250, 0.250, 0.750], [0.250, 0.750, 0.250], [0.750, 0.250, 0.250], [0.750, 0.750, 0.750], [0.250, 0.250, 0.250], [0.250, 0.750, 0.750], [0.750, 0.250, 0.750], [0.750, 0.750, 0.250]]}



{"formula": "Nd2NpSb3Rh4", "functional": "PBE", "state": "optimized geometry", "formation_energy_uncorrected_ev_per_atom": -0.724, "n_ef_per_ev_fu": 11.95, "final_energy_ev_per_atom": -7.15, "crystal_system": "tetragonal", "lattice": [[4.442, 0.000, 0.000], [0.000, 4.442, 0.000], [0.000, 0.000, 11.256]], "species": ["Nd", "Nd", "Np", "Sb", "Sb", "Sb", "Rh", "Rh", "Rh", "Rh"], "fractional_positions": [[0.000, 0.500, 0.227], [0.500, 0.000, 0.773], [0.000, 0.000, 0.500], [0.000, 0.500, 0.870], [0.500, 0.000, 0.130], [0.500, 0.500, 0.500], [0.000, 0.000, 0.000], [0.000, 0.500, 0.641], [0.500, 0.000, 0.359], [0.500, 0.500, 0.000]]}



{"formula": "Nd2NpZn2Rh5", "functional": "PBE", "state": "optimized geometry", "n_ef_per_ev_fu": 12.75, "formation_energy_mev_per_atom": -542, "final_energy_ev_per_atom": -6.72, "crystal_system": "tetragonal", "lattice": [[9.962, 0.000, 0.000], [0.000, 9.962, 0.000], [0.000, 0.000, 3.697]], "species": ["Nd", "Nd", "Nd", "Nd", "Np", "Np", "Zn", "Zn", "Zn", "Zn", "Rh", "Rh", "Rh", "Rh", "Rh", "Rh", "Rh", "Rh", "Rh", "Rh"], "fractional_positions": [[0.171, 0.329, 0.000], [0.329, 0.829, 0.000], [0.671, 0.171, 0.000], [0.829, 0.671, 0.000], [0.000, 0.000, 0.000], [0.500, 0.500, 0.000], [0.125, 0.625, 0.000], [0.375, 0.125, 0.000], [0.625, 0.875, 0.000], [0.875, 0.375, 0.000], [0.000, 0.500, 0.500], [0.067, 0.798, 0.500], [0.202, 0.067, 0.500], [0.298, 0.567, 0.500], [0.433, 0.298, 0.500], [0.500, 0.000, 0.500], [0.567, 0.702, 0.500], [0.702, 0.433, 0.500], [0.798, 0.933, 0.500], [0.933, 0.202, 0.500]]}



{"formula": "Nd3Np2Ru4", "functional": "PBE", "state": "optimized geometry", "n_ef_per_ev_fu": 15.09, "formation_energy_mev_per_atom": -220, "final_energy_ev_per_atom": -8.81, "crystal_system": "monoclinic", "lattice": [[5.628, -2.115, 0.000], [5.628, 2.115, 0.000], [-1.840, 0.000, 8.775]], "species": ["Nd", "Nd", "Nd", "Np", "Np", "Ru", "Ru", "Ru", "Ru"], "fractional_positions": [[0.000, 0.000, 0.000], [0.375, 0.375, 0.615], [0.625, 0.625, 0.385], [0.328, 0.328, 0.218], [0.672, 0.672, 0.782], [0.088, 0.088, 0.640], [0.277, 0.277, 0.907], [0.723, 0.723, 0.093], [0.912, 0.912, 0.360]]}



{"formula": "NdNpRu4", "functional": "PBE", "state": "optimized geometry", "n_ef_per_ev_fu": 11.01, "formation_energy_mev_per_atom": -47, "final_energy_ev_per_atom": -9.18, "crystal_system": "cubic", "lattice": [[0.000, 3.788, 3.788], [3.788, 0.000, 3.788], [3.788, 3.788, 0.000]], "species": ["Nd", "Np", "Ru", "Ru", "Ru", "Ru"], "fractional_positions": [[0.000, 0.000, 0.000], [0.250, 0.250, 0.250], [0.126, 0.625, 0.625], [0.625, 0.126, 0.625], [0.625, 0.625, 0.126], [0.625, 0.625, 0.625]]}



{"formula": "Nd2NpRu2", "functional": "PBE", "state": "optimized geometry", "n_ef_per_ev_fu": 8.28, "formation_energy_mev_per_atom": -214, "final_energy_ev_per_atom": -8.42, "crystal_system": "monoclinic", "lattice": [[5.079, -3.027, 0.000], [5.079, 3.027, 0.000], [-1.312, 0.000, 7.768]], "species": ["Nd", "Nd", "Nd", "Nd", "Np", "Np", "Ru", "Ru", "Ru", "Ru"], "fractional_positions": [[0.027, 0.275, 0.152], [0.275, 0.027, 0.652], [0.725, 0.973, 0.348], [0.973, 0.725, 0.848], [0.373, 0.627, 0.250], [0.627, 0.373, 0.750], [0.249, 0.504, 0.488], [0.496, 0.751, 0.012], [0.504, 0.249, 0.988], [0.751, 0.496, 0.512]]}